Density functional theory data (PBE-GGA) for a relaxed NdZn5Pd7 crystal.

## Properties
**Electronic total energy**: -54.60 eV per cell
**Symmetry**: Imm2 (44)
**N(E_F)**: 4.41 states/eV/cell
**Formation energy from the elements**: -547 meV per atom
**Spin magnetization**: 0.00 μB/f.u.

a b c (Å): 5.2844 6.8156 6.8156
angles (deg): 81.61 67.19 67.19
Positions (direct):
Pd (0.3411, 0.6589, 0.6589)
Zn (0.7291, 0.7709, 0.7709)
Pd (0.6528, 0.3472, 0.3472)
Pd (0.9961, 0.6602, 0.3475)
Zn (0.0041, 0.0005, 0.4972)
Zn (0.4981, 0.4972, 0.0005)
Zn (0.0041, 0.4972, 0.0005)
Pd (0.5066, 0.2029, 0.7838)
Pd (0.2744, 0.2256, 0.2256)
Zn (0.4981, 0.0005, 0.4972)
Pd (0.9961, 0.3475, 0.6602)
Nd (0.9925, 0.0075, 0.0075)
Pd (0.5066, 0.7838, 0.2029)

---

Density functional theory data (PBE-GGA) for a relaxed Nd2Zn5Pd5 crystal.

## Properties
**Electronic total energy**: -49.55 eV per cell
**Symmetry**: Pmmm (47)
**N(E_F)**: 5.93 states/eV/cell
**Formation energy from the elements**: -640 meV per atom
**Spin magnetization**: 0.00 μB/f.u.

a b c (Å): 4.3576 5.3233 9.3765
angles (deg): 90.00 90.00 90.00
Positions (direct):
Pd (0.5000, 0.0000, 0.0000)
Pd (0.0000, 0.0000, 0.1795)
Zn (0.5000, 0.7505, 0.7514)
Zn (0.5000, 0.5000, 0.5000)
Nd (0.0000, 0.5000, 0.0000)
Zn (0.5000, 0.2495, 0.2486)
Zn (0.5000, 0.2495, 0.7514)
Pd (0.0000, 0.0000, 0.8205)
Pd (0.0000, 0.5000, 0.6669)
Zn (0.5000, 0.7505, 0.2486)
Nd (0.0000, 0.0000, 0.5000)
Pd (0.0000, 0.5000, 0.3331)

---

Density functional theory data (PBE-GGA) for a relaxed Nd2Zn3Pd4 crystal.

## Properties
**Electronic total energy**: -80.68 eV per cell
**Symmetry**: Cmce (64)
**N(E_F)**: 8.30 states/eV/cell
**Formation energy from the elements**: -690 meV per atom
**Spin magnetization**: 0.00 μB/f.u.

a b c (Å): 5.6690 7.6631 8.2930
angles (deg): 90.00 109.99 90.00
Positions (direct):
Pd (0.1775, 0.9785, 0.3549)
Zn (0.0000, 0.0000, 0.0000)
Pd (0.8225, 0.0215, 0.6451)
Zn (0.5229, 0.7500, 0.5458)
Pd (0.8097, 0.2500, 0.1195)
Nd (0.3858, 0.0792, 0.7717)
Zn (0.0229, 0.7500, 0.5458)
Pd (0.6903, 0.7500, 0.8805)
Nd (0.6142, 0.9208, 0.2283)
Zn (0.4771, 0.2500, 0.4542)
Pd (0.1903, 0.7500, 0.8805)
Nd (0.1142, 0.5792, 0.2283)
Pd (0.3097, 0.2500, 0.1195)
Nd (0.8858, 0.4208, 0.7717)
Pd (0.6775, 0.5215, 0.3549)
Zn (0.5000, 0.5000, 0.0000)
Pd (0.3225, 0.4785, 0.6451)
Zn (0.9771, 0.2500, 0.4542)

---

Density functional theory data (PBE-GGA) for a relaxed NdZnPd2 crystal.

## Properties
**Electronic total energy**: -18.50 eV per cell
**Symmetry**: P4/mmm (123)
**N(E_F)**: 2.26 states/eV/cell
**Formation energy from the elements**: -519 meV per atom
**Spin magnetization**: 0.00 μB/f.u.

a b c (Å): 3.6104 4.6291 4.6291
angles (deg): 90.00 90.00 90.00
Positions (direct):
Pd (0.0000, 0.0000, 0.5000)
Pd (0.0000, 0.5000, 0.0000)
Zn (0.5000, 0.0000, 0.0000)
Nd (0.5000, 0.5000, 0.5000)